# LiTc2Os PBE-GGA optimized geometry
# Magnetization (μB/cell): 0.0
# Energy (eV/atom): -8.18
data_LiTc2Os
_cell_length_a 3.030
_cell_length_b 3.030
_cell_length_c 5.813
_cell_angle_alpha 90.00
_cell_angle_beta 90.00
_cell_angle_gamma 90.00
_space_group_name_H-M_alt 'P 4 m m'
_space_group_IT_number 99
loop_
_space_group_symop_operation_xyz
'x,y,z'
'-y,x,z'
'-x,-y,z'
'y,-x,z'
'-x,y,z'
'y,x,z'
'x,-y,z'
'-y,-x,z'
loop_
_atom_site_label
_atom_site_type_symbol
_atom_site_fract_x
_atom_site_fract_y
_atom_site_fract_z
Li1 Li 0.000 0.000 0.000
Tc1 Tc 0.000 0.000 0.502
Tc2 Tc 0.500 0.500 0.772
Os1 Os 0.500 0.500 0.219